The following is a DFT calculation (GGA-PBE) of a relaxed LiLa4 crystal.

```
data_LiLa4
_chemical_formula_sum 'Li2 La8'
_cell_length_a 7.067
_cell_length_b 7.067
_cell_length_c 7.067
_cell_angle_alpha 90.00
_cell_angle_beta 90.00
_cell_angle_gamma 90.00
_symmetry_space_group_name_H-M 'I m -3 m'
_symmetry_Int_Tables_number 229
_symmetry_space_group_name_Hall '-I 4 2 3'
loop_
_atom_site_label
_atom_site_fract_x
_atom_site_fract_y
_atom_site_fract_z
Li1 0.000 0.000 0.000
La1 0.250 0.250 0.250
```

The distance to the lowest polymorph of the same formula comes out at 400 meV/atom. The energy relative to the elements is 2.44 eV per formula unit. As for the total magnetization: 1.71 μB per formula unit.

***

The following is a DFT calculation (GGA-PBE) of a relaxed LiLa crystal.

```
data_LiLa
_chemical_formula_sum 'Li1 La1'
_cell_length_a 3.4994
_cell_length_b 3.4994
_cell_length_c 5.7275
_cell_angle_alpha 90.00
_cell_angle_beta 90.00
_cell_angle_gamma 120.00
_symmetry_space_group_name_H-M 'P -6 m 2'
_symmetry_Int_Tables_number 187
_symmetry_space_group_name_Hall 'P -6 2'
loop_
_atom_site_label
_atom_site_fract_x
_atom_site_fract_y
_atom_site_fract_z
Li1 0.0000 0.0000 0.0000
La1 0.3333 0.6667 0.5000
```

The distance to the lowest polymorph of the same formula comes out at 103 meV/atom. The energy relative to the elements is 0.31 eV per formula unit. As for the total magnetization: 0.00 μB per formula unit.

***

The following is a DFT calculation (GGA-PBE) of a relaxed LiLa crystal.

```
data_LiLa
_chemical_formula_sum 'Li6 La6'
_cell_length_a 13.328
_cell_length_b 3.624
_cell_length_c 7.367
_cell_angle_alpha 90.00
_cell_angle_beta 104.82
_cell_angle_gamma 90.00
_symmetry_space_group_name_H-M 'C 1 m 1'
_symmetry_Int_Tables_number 8
loop_
_symmetry_equiv_pos_as_xyz
'x,y,z'
'x,-y,z'
'x+1/2,y+1/2,z'
'x+1/2,-y+1/2,z'
loop_
_atom_site_label
_atom_site_fract_x
_atom_site_fract_y
_atom_site_fract_z
Li1 0.000 0.000 0.000
Li2 0.004 0.000 0.597
Li3 0.367 0.000 0.716
La1 0.157 0.500 0.377
La2 0.197 0.500 0.887
La3 0.367 0.000 0.239
```

The distance to the lowest polymorph of the same formula comes out at 40 meV/atom. The energy relative to the elements is 0.19 eV per formula unit. As for the total magnetization: 0.00 μB per formula unit.

***

The following is a DFT calculation (GGA-PBE) of a relaxed LiLa crystal.

```
data_LiLa
_chemical_formula_sum 'Li4 La4'
_cell_length_a 6.879
_cell_length_b 6.879
_cell_length_c 6.879
_cell_angle_alpha 90.00
_cell_angle_beta 90.00
_cell_angle_gamma 90.00
_symmetry_space_group_name_H-M 'F -4 3 m'
_symmetry_Int_Tables_number 216
_symmetry_space_group_name_Hall 'F -4 2 3'
loop_
_atom_site_label
_atom_site_fract_x
_atom_site_fract_y
_atom_site_fract_z
Li1 0.000 0.000 0.000
La1 0.250 0.250 0.750
```

The distance to the lowest polymorph of the same formula comes out at 1067 meV/atom. The energy relative to the elements is 2.24 eV per formula unit. As for the total magnetization: 0.01 μB per formula unit.